Arrangement one

Entry from the Alexandria database: crystalline Hf2TiAg at its relaxed geometry (PBE).

Cell: 3.0848 3.0848 16.7553 Å, 90.00 90.00 90.00°
Sites, in units of the cell vectors:
Hf: 0.2496 0.2500 0.6858
Hf: 0.7504 0.7500 0.3142
Hf: 0.2497 0.2500 0.9313
Hf: 0.7503 0.7500 0.0687
Ti: 0.2505 0.2500 0.1944
Ti: 0.7495 0.7500 0.8056
Ag: 0.2500 0.2500 0.4411
Ag: 0.7500 0.7500 0.5589

The density of states at the Fermi level is 4.41 states/eV/f.u. The value obtained for the calculated volume is 19.931 Å³ per atom. The space group is P4/nmm (129).

---

Arrangement two

Entry from the Alexandria database: crystalline Hf2TiAg at its relaxed geometry (PBE).

Cell: 4.8177 4.8177 4.8177 Å, 60.00 60.00 60.00°
Sites, in units of the cell vectors:
Hf: 0.2500 0.2500 0.2500
Hf: 0.7500 0.7500 0.7500
Ag: 0.5000 0.5000 0.5000
Ti: 0.0000 0.0000 0.0000

The density of states at the Fermi level is 6.11 states/eV/f.u. The value obtained for the calculated volume is 19.767 Å³ per atom. The space group is Fm-3m (225).

---

Most stable: arrangement one

---

Arrangement one

Entry from the Alexandria database: crystalline HfTiAg at its relaxed geometry (PBE).

Cell: 3.4842 3.4842 9.3472 Å, 90.00 90.00 90.00°
Sites, in units of the cell vectors:
Hf: 0.0000 0.5000 0.2517
Hf: 0.5000 0.0000 0.7483
Ti: 0.0000 0.5000 0.5642
Ti: 0.5000 0.0000 0.4358
Ag: 0.5000 0.0000 0.0821
Ag: 0.0000 0.5000 0.9179

The density of states at the Fermi level is 2.61 states/eV/f.u. The value obtained for the calculated volume is 18.912 Å³ per atom. The space group is P4/nmm (129).

---

Arrangement two

Entry from the Alexandria database: crystalline HfTiAg at its relaxed geometry (PBE).

Cell: 3.0692 3.0692 7.1294 Å, 90.00 90.00 120.00°
Sites, in units of the cell vectors:
Hf: 0.3333 0.6667 0.6564
Ag: 0.0000 0.0000 0.0071
Ti: 0.6667 0.3333 0.3365

The density of states at the Fermi level is 3.24 states/eV/f.u. The value obtained for the calculated volume is 19.388 Å³ per atom. The space group is P3m1 (156).

---

Most stable: arrangement one

---

Arrangement one

Entry from the Alexandria database: crystalline HfTi2Ag at its relaxed geometry (PBE).

Cell: 3.9448 3.9448 10.4171 Å, 79.09 79.09 90.00°
Sites, in units of the cell vectors:
Hf: 0.0000 0.0000 0.0000
Hf: 0.7500 0.2500 0.5000
Ag: 0.5000 0.5000 0.0000
Ag: 0.2500 0.7500 0.5000
Ti: 0.6255 0.1250 0.2500
Ti: 0.1245 0.6250 0.2500
Ti: 0.3750 0.3745 0.7500
Ti: 0.8750 0.8755 0.7500

The density of states at the Fermi level is 4.94 states/eV/f.u. The value obtained for the calculated volume is 19.523 Å³ per atom. The space group is I-42d (122).

---

Arrangement two

Entry from the Alexandria database: crystalline HfTi2Ag at its relaxed geometry (PBE).

Cell: 3.0445 3.0445 8.0255 Å, 90.00 90.00 90.00°
Sites, in units of the cell vectors:
Hf: 0.5000 0.5000 0.5000
Ag: 0.5000 0.5000 0.0000
Ti: 0.0000 0.0000 0.7562
Ti: 0.0000 0.0000 0.2438

The density of states at the Fermi level is 4.12 states/eV/f.u. The value obtained for the calculated volume is 18.597 Å³ per atom. The space group is P4/mmm (123).

---

Most stable: arrangement two

---

Arrangement one

Entry from the Alexandria database: crystalline HfTi2Ag at its relaxed geometry (PBE).

Cell: 4.6754 4.6754 4.6754 Å, 60.00 60.00 60.00°
Sites, in units of the cell vectors:
Hf: 0.5000 0.5000 0.5000
Ag: 0.0000 0.0000 0.0000
Ti: 0.2500 0.2500 0.2500
Ti: 0.7500 0.7500 0.7500

The density of states at the Fermi level is 7.47 states/eV/f.u. The value obtained for the calculated volume is 18.066 Å³ per atom. The space group is Fm-3m (225).

---

Arrangement two

Entry from the Alexandria database: crystalline HfTi2Ag at its relaxed geometry (PBE).

Cell: 3.1260 4.8344 4.8344 Å, 90.00 90.00 90.00°
Sites, in units of the cell vectors:
Hf: 0.5000 0.5000 0.5000
Ag: 0.5000 0.0000 0.0000
Ti: 0.0000 0.0000 0.5000
Ti: 0.0000 0.5000 0.0000

The density of states at the Fermi level is 4.29 states/eV/f.u. The value obtained for the calculated volume is 18.265 Å³ per atom. The space group is P4/mmm (123).

---

Most stable: arrangement two

---

Arrangement one

Entry from the Alexandria database: crystalline Hf2TiAg2 at its relaxed geometry (PBE).

Cell: 3.0447 3.0544 10.8789 Å, 81.93 90.00 90.00°
Sites, in units of the cell vectors:
Hf: 0.5000 0.4056 0.1889
Hf: 0.5000 0.5944 0.8111
Ti: 0.0000 0.0000 0.0000
Ag: 0.0000 0.1939 0.6122
Ag: 0.0000 0.8061 0.3878

The density of states at the Fermi level is 3.48 states/eV/f.u. The value obtained for the calculated volume is 20.034 Å³ per atom. The space group is Cmmm (65).

---

Arrangement two

Entry from the Alexandria database: crystalline Hf2TiAg2 at its relaxed geometry (PBE).

Cell: 7.8048 7.8048 3.3011 Å, 90.00 90.00 90.00°
Sites, in units of the cell vectors:
Hf: 0.1756 0.6756 0.5000
Hf: 0.6756 0.8244 0.5000
Hf: 0.8244 0.3244 0.5000
Hf: 0.3244 0.1756 0.5000
Ag: 0.3752 0.8752 0.0000
Ag: 0.8752 0.6248 0.0000
Ag: 0.6248 0.1248 0.0000
Ag: 0.1248 0.3752 0.0000
Ti: 0.0000 0.0000 0.0000
Ti: 0.5000 0.5000 0.0000

The density of states at the Fermi level is 5.83 states/eV/f.u. The value obtained for the calculated volume is 20.109 Å³ per atom. The space group is P4/mbm (127).

---

Most stable: arrangement one

---

Arrangement one

Entry from the Alexandria database: crystalline HfTiAg2 at its relaxed geometry (PBE).

Cell: 7.6066 7.6066 6.0270 Å, 50.87 50.87 90.00°
Sites, in units of the cell vectors:
Hf: 0.0000 0.0000 0.0000
Hf: 0.7500 0.2500 0.5000
Ag: 0.6103 0.1250 0.2500
Ag: 0.1397 0.6250 0.2500
Ag: 0.3750 0.3897 0.7500
Ag: 0.8750 0.8603 0.7500
Ti: 0.5000 0.5000 0.0000
Ti: 0.2500 0.7500 0.5000

The density of states at the Fermi level is 4.05 states/eV/f.u. The value obtained for the calculated volume is 19.667 Å³ per atom. The space group is I-42d (122).

---

Arrangement two

Entry from the Alexandria database: crystalline HfTiAg2 at its relaxed geometry (PBE).

Cell: 2.9811 2.9811 8.3135 Å, 90.00 90.00 90.00°
Sites, in units of the cell vectors:
Hf: 0.5000 0.5000 0.5000
Ag: 0.0000 0.0000 0.7601
Ag: 0.0000 0.0000 0.2399
Ti: 0.5000 0.5000 0.0000

The density of states at the Fermi level is 3.93 states/eV/f.u. The value obtained for the calculated volume is 18.470 Å³ per atom. The space group is P4/mmm (123).

---

Arrangement three

Entry from the Alexandria database: crystalline HfTiAg2 at its relaxed geometry (PBE).

Cell: 4.7451 4.7451 4.7451 Å, 60.00 60.00 60.00°
Sites, in units of the cell vectors:
Hf: 0.5000 0.5000 0.5000
Ag: 0.2500 0.2500 0.2500
Ag: 0.7500 0.7500 0.7500
Ti: 0.0000 0.0000 0.0000

The density of states at the Fermi level is 3.52 states/eV/f.u. The value obtained for the calculated volume is 18.887 Å³ per atom. The space group is Fm-3m (225).

---

Most stable: arrangement two

---

Arrangement one

Entry from the Alexandria database: crystalline HfTiAg2 at its relaxed geometry (PBE).

Cell: 3.3688 3.3688 6.5098 Å, 90.00 90.00 90.00°
Sites, in units of the cell vectors:
Hf: 0.0000 0.0000 0.4986
Ti: 0.5000 0.5000 0.7651
Ag: 0.0000 0.0000 0.9956
Ag: 0.5000 0.5000 0.2407

The density of states at the Fermi level is 2.56 states/eV/f.u. The value obtained for the calculated volume is 18.470 Å³ per atom. The space group is P4mm (99).

---

Arrangement two

Entry from the Alexandria database: crystalline HfTiAg2 at its relaxed geometry (PBE).

Cell: 4.2795 4.1453 4.1453 Å, 90.00 90.00 90.00°
Sites, in units of the cell vectors:
Hf: 0.5000 0.0000 0.0000
Ag: 0.0000 0.0000 0.5000
Ag: 0.0000 0.5000 0.0000
Ti: 0.5000 0.5000 0.5000

The density of states at the Fermi level is 4.73 states/eV/f.u. The value obtained for the calculated volume is 18.384 Å³ per atom. The space group is P4/mmm (123).

---

Most stable: arrangement one

---

Arrangement one

Entry from the Alexandria database: crystalline HfTlAg2 at its relaxed geometry (PBE).

Cell: 3.6172 3.6172 6.4490 Å, 90.00 90.00 90.00°
Sites, in units of the cell vectors:
Tl: 0.5000 0.5000 0.5000
Hf: 0.5000 0.5000 0.0000
Ag: 0.0000 0.0000 0.7726
Ag: 0.0000 0.0000 0.2274

The density of states at the Fermi level is 2.81 states/eV/f.u. The value obtained for the calculated volume is 21.095 Å³ per atom. The space group is P4/mmm (123).

---

Arrangement two

Entry from the Alexandria database: crystalline HfTlAg2 at its relaxed geometry (PBE).

Cell: 7.8419 7.8419 6.2776 Å, 51.35 51.35 90.00°
Sites, in units of the cell vectors:
Tl: 0.0000 0.0000 0.0000
Tl: 0.7500 0.2500 0.5000
Hf: 0.5000 0.5000 0.0000
Hf: 0.2500 0.7500 0.5000
Ag: 0.6184 0.1250 0.2500
Ag: 0.1316 0.6250 0.2500
Ag: 0.3750 0.3816 0.7500
Ag: 0.8750 0.8684 0.7500

The density of states at the Fermi level is 4.26 states/eV/f.u. The value obtained for the calculated volume is 22.621 Å³ per atom. The space group is I-42d (122).

---

Arrangement three

Entry from the Alexandria database: crystalline HfTlAg2 at its relaxed geometry (PBE).

Cell: 4.8395 4.8395 4.8395 Å, 60.00 60.00 60.00°
Sites, in units of the cell vectors:
Tl: 0.5000 0.5000 0.5000
Hf: 0.0000 0.0000 0.0000
Ag: 0.2500 0.2500 0.2500
Ag: 0.7500 0.7500 0.7500

The density of states at the Fermi level is 2.13 states/eV/f.u. The value obtained for the calculated volume is 20.037 Å³ per atom. The space group is Fm-3m (225).

---

Arrangement four

Entry from the Alexandria database: crystalline HfTlAg2 at its relaxed geometry (PBE).

Cell: 3.0568 3.0568 11.2272 Å, 82.18 82.18 60.00°
Sites, in units of the cell vectors:
Tl: 0.5000 0.5000 0.5000
Hf: 0.0000 0.0000 0.0000
Ag: 0.0832 0.0832 0.7505
Ag: 0.9168 0.9168 0.2495

The density of states at the Fermi level is 2.80 states/eV/f.u. The value obtained for the calculated volume is 22.431 Å³ per atom. The space group is R-3m (166).

---

Most stable: arrangement one

---

Arrangement one

Entry from the Alexandria database: crystalline Hf2TlAg2 at its relaxed geometry (PBE).

Cell: 7.8066 7.8066 3.4237 Å, 90.00 90.00 90.00°
Sites, in units of the cell vectors:
Tl: 0.0000 0.0000 0.0000
Tl: 0.5000 0.5000 0.0000
Hf: 0.1706 0.6706 0.5000
Hf: 0.6706 0.8294 0.5000
Hf: 0.8294 0.3294 0.5000
Hf: 0.3294 0.1706 0.5000
Ag: 0.3743 0.8743 0.0000
Ag: 0.8743 0.6257 0.0000
Ag: 0.6257 0.1257 0.0000
Ag: 0.1257 0.3743 0.0000

The density of states at the Fermi level is 3.88 states/eV/f.u. The value obtained for the calculated volume is 20.865 Å³ per atom. The space group is P4/mbm (127).

---

Arrangement two

Entry from the Alexandria database: crystalline Hf2TlAg2 at its relaxed geometry (PBE).

Cell: 8.3236 8.3236 3.1457 Å, 90.00 90.00 90.00°
Sites, in units of the cell vectors:
Tl: 0.0000 0.0000 0.0000
Tl: 0.5000 0.5000 0.0000
Hf: 0.3321 0.8321 0.0000
Hf: 0.8321 0.6679 0.0000
Hf: 0.6679 0.1679 0.0000
Hf: 0.1679 0.3321 0.0000
Ag: 0.1265 0.6265 0.5000
Ag: 0.6265 0.8735 0.5000
Ag: 0.8735 0.3735 0.5000
Ag: 0.3735 0.1265 0.5000

The density of states at the Fermi level is 2.52 states/eV/f.u. The value obtained for the calculated volume is 21.794 Å³ per atom. The space group is P4/mbm (127).

---

Most stable: arrangement one

---

Arrangement one

Entry from the Alexandria database: crystalline Tm2HfAg at its relaxed geometry (PBE).

Cell: 3.1864 3.1864 11.5063 Å, 82.04 82.04 60.00°
Sites, in units of the cell vectors:
Tm: 0.0925 0.0925 0.7225
Tm: 0.9075 0.9075 0.2775
Hf: 0.0000 0.0000 0.0000
Ag: 0.5000 0.5000 0.5000

The density of states at the Fermi level is 3.95 states/eV/f.u. The value obtained for the calculated volume is 24.968 Å³ per atom. The space group is R-3m (166).

---

Arrangement two

Entry from the Alexandria database: crystalline Tm2HfAg at its relaxed geometry (PBE).

Cell: 3.3721 3.3721 8.5489 Å, 90.00 90.00 90.00°
Sites, in units of the cell vectors:
Tm: 0.0000 0.0000 0.7634
Tm: 0.0000 0.0000 0.2366
Hf: 0.5000 0.5000 0.5000
Ag: 0.5000 0.5000 0.0000

The density of states at the Fermi level is 3.88 states/eV/f.u. The value obtained for the calculated volume is 24.303 Å³ per atom. The space group is P4/mmm (123).

---

Most stable: arrangement two

---

Arrangement one

Entry from the Alexandria database: crystalline TmHfAg at its relaxed geometry (PBE).

Cell: 3.3237 3.3237 6.6265 Å, 104.52 104.52 90.00°
Sites, in units of the cell vectors:
Tm: 0.3316 0.3316 0.6632
Hf: 0.0103 0.0103 0.0206
Ag: 0.6581 0.6581 0.3163

The density of states at the Fermi level is 4.89 states/eV/f.u. The value obtained for the calculated volume is 22.815 Å³ per atom. The space group is I4mm (107).

---

Arrangement two

Entry from the Alexandria database: crystalline TmHfAg at its relaxed geometry (PBE).

Cell: 3.7617 3.7617 9.7831 Å, 90.00 90.00 90.00°
Sites, in units of the cell vectors:
Hf: 0.0000 0.5000 0.5642
Hf: 0.5000 0.0000 0.4358
Tm: 0.0000 0.5000 0.2356
Tm: 0.5000 0.0000 0.7644
Ag: 0.5000 0.0000 0.0799
Ag: 0.0000 0.5000 0.9201

The density of states at the Fermi level is 3.42 states/eV/f.u. The value obtained for the calculated volume is 23.073 Å³ per atom. The space group is P4/nmm (129).

---

Most stable: arrangement two

---

Arrangement one

Entry from the Alexandria database: crystalline TmHfAg2 at its relaxed geometry (PBE).

Cell: 4.9479 4.9479 4.9479 Å, 60.00 60.00 60.00°
Sites, in units of the cell vectors:
Tm: 0.0000 0.0000 0.0000
Hf: 0.5000 0.5000 0.5000
Ag: 0.2500 0.2500 0.2500
Ag: 0.7500 0.7500 0.7500

The density of states at the Fermi level is 5.63 states/eV/f.u. The value obtained for the calculated volume is 21.414 Å³ per atom. The space group is Fm-3m (225).

---

Arrangement two

Entry from the Alexandria database: crystalline TmHfAg2 at its relaxed geometry (PBE).

Cell: 3.3980 3.3980 7.3995 Å, 90.00 90.00 90.00°
Sites, in units of the cell vectors:
Tm: 0.5000 0.5000 0.5000
Hf: 0.5000 0.5000 0.0000
Ag: 0.0000 0.0000 0.7647
Ag: 0.0000 0.0000 0.2353

The density of states at the Fermi level is 3.49 states/eV/f.u. The value obtained for the calculated volume is 21.359 Å³ per atom. The space group is P4/mmm (123).

---

Most stable: arrangement two